Model A:
This record from Alexandria via LeMat-Bulk describes MnCF3 after structural relaxation. The functional is PBE with a Hubbard U.

The structure in CIF format:
```
data_MnCF3
_cell_length_a 4.046
_cell_length_b 4.046
_cell_length_c 4.046
_cell_angle_alpha 90.00
_cell_angle_beta 90.00
_cell_angle_gamma 90.00
_space_group_name_H-M_alt 'P 1'
_space_group_IT_number 1
_space_group_name_Hall 'P 1'
loop_
_atom_site_label
_atom_site_type_symbol
_atom_site_fract_x
_atom_site_fract_y
_atom_site_fract_z
_atom_site_occupancy
Mn1 Mn 0.000 0.000 0.000 1
C1 C 0.500 0.500 0.500 1
F1 F 0.000 0.000 0.500 1
F2 F 0.000 0.500 0.000 1
F3 F 0.500 0.000 0.000 1
```

Summary:
The total moment is 0.598 μB per atom. For the density of states at the Fermi level, the calculation gives 6.94 states/eV per cell.

***

Model B:
This record from Alexandria via LeMat-Bulk describes MnCF3 after structural relaxation. The functional is PBE with a Hubbard U.

The structure in CIF format:
```
data_MnCF3
_cell_length_a 3.946
_cell_length_b 3.946
_cell_length_c 3.946
_cell_angle_alpha 90.00
_cell_angle_beta 90.00
_cell_angle_gamma 90.00
_space_group_name_H-M_alt 'P 1'
_space_group_IT_number 1
_space_group_name_Hall 'P 1'
loop_
_atom_site_label
_atom_site_type_symbol
_atom_site_fract_x
_atom_site_fract_y
_atom_site_fract_z
_atom_site_occupancy
Mn1 Mn 0.000 0.000 0.000 1
C1 C 0.500 0.500 0.500 1
F1 F 0.000 0.500 0.500 1
F2 F 0.500 0.000 0.500 1
F3 F 0.500 0.500 0.000 1
```

Summary:
The total moment is 1.195 μB per atom. For the density of states at the Fermi level, the calculation gives 4.04 states/eV per cell.

***

The winner here is model A, beating the second structure by 29.0 kJ/mol of atoms.

***

Model A:
This record from Alexandria via LeMat-Bulk describes MnC3F after structural relaxation. The functional is PBE with a Hubbard U.

The structure in CIF format:
```
data_MnC3F
_cell_length_a 3.766
_cell_length_b 3.766
_cell_length_c 3.766
_cell_angle_alpha 90.00
_cell_angle_beta 90.00
_cell_angle_gamma 90.00
_space_group_name_H-M_alt 'P 1'
_space_group_IT_number 1
_space_group_name_Hall 'P 1'
loop_
_atom_site_label
_atom_site_type_symbol
_atom_site_fract_x
_atom_site_fract_y
_atom_site_fract_z
_atom_site_occupancy
Mn1 Mn 0.000 0.000 0.000 1
C1 C 0.000 0.500 0.500 1
C2 C 0.500 0.000 0.500 1
C3 C 0.500 0.500 0.000 1
F1 F 0.500 0.500 0.500 1
```

Summary:
The total moment is 0.771 μB per atom. For the density of states at the Fermi level, the calculation gives 2.26 states/eV per cell.

***

Model B:
This record from Alexandria via LeMat-Bulk describes MnC3F after structural relaxation. The functional is PBE with a Hubbard U.

The structure in CIF format:
```
data_MnC3F
_cell_length_a 3.693
_cell_length_b 3.693
_cell_length_c 3.693
_cell_angle_alpha 90.00
_cell_angle_beta 90.00
_cell_angle_gamma 90.00
_space_group_name_H-M_alt 'P 1'
_space_group_IT_number 1
_space_group_name_Hall 'P 1'
loop_
_atom_site_label
_atom_site_type_symbol
_atom_site_fract_x
_atom_site_fract_y
_atom_site_fract_z
_atom_site_occupancy
Mn1 Mn 0.000 0.000 0.000 1
C1 C 0.000 0.000 0.500 1
C2 C 0.000 0.500 0.000 1
C3 C 0.500 0.000 0.000 1
F1 F 0.500 0.500 0.500 1
```

Summary:
The total moment is 0.000 μB per atom. For the density of states at the Fermi level, the calculation gives 0.00 states/eV per cell.

***

The winner here is model B, beating the second structure by 81.5 kJ/mol of atoms.

***

Model A:
This record from Alexandria via LeMat-Bulk describes MoC2F2 after structural relaxation. The functional is PBE with a Hubbard U.

The structure in CIF format:
```
data_MoC2F2
_cell_length_a 4.951
_cell_length_b 4.951
_cell_length_c 4.951
_cell_angle_alpha 136.38
_cell_angle_beta 136.38
_cell_angle_gamma 63.40
_space_group_name_H-M_alt 'P 1'
_space_group_IT_number 1
_space_group_name_Hall 'P 1'
loop_
_atom_site_label
_atom_site_type_symbol
_atom_site_fract_x
_atom_site_fract_y
_atom_site_fract_z
_atom_site_occupancy
Mo1 Mo 0.000 0.000 0.000 1
C1 C 0.424 0.424 0.000 1
C2 C 0.576 0.576 0.000 1
F1 F 0.250 0.750 0.500 1
F2 F 0.750 0.250 0.500 1
```

Summary:
The total moment is 0.768 μB per atom. For the density of states at the Fermi level, the calculation gives 1.73 states/eV per cell.

***

Model B:
This record from Alexandria via LeMat-Bulk describes MoC2F2 after structural relaxation. The functional is PBE with a Hubbard U.

The structure in CIF format:
```
data_MoC2F2
_cell_length_a 5.938
_cell_length_b 5.938
_cell_length_c 3.966
_cell_angle_alpha 90.00
_cell_angle_beta 90.00
_cell_angle_gamma 90.00
_space_group_name_H-M_alt 'P 1'
_space_group_IT_number 1
_space_group_name_Hall 'P 1'
loop_
_atom_site_label
_atom_site_type_symbol
_atom_site_fract_x
_atom_site_fract_y
_atom_site_fract_z
_atom_site_occupancy
Mo1 Mo 0.000 0.000 0.000 1
Mo2 Mo 0.500 0.500 0.000 1
C1 C 0.250 0.250 0.000 1
C2 C 0.250 0.750 0.000 1
C3 C 0.750 0.250 0.000 1
C4 C 0.750 0.750 0.000 1
F1 F 0.249 0.251 0.500 1
F2 F 0.251 0.751 0.500 1
F3 F 0.749 0.249 0.500 1
F4 F 0.751 0.749 0.500 1
```

Summary:
The total moment is 0.406 μB per atom. For the density of states at the Fermi level, the calculation gives 2.12 states/eV per cell.

***

The winner here is model A, beating the second structure by 19.6 kJ/mol of atoms.

***

Model A:
This record from Alexandria via LeMat-Bulk describes MoCN2F after structural relaxation. The functional is PBE with a Hubbard U.

The structure in CIF format:
```
data_MoCN2F
_cell_length_a 3.601
_cell_length_b 3.601
_cell_length_c 3.408
_cell_angle_alpha 90.00
_cell_angle_beta 90.00
_cell_angle_gamma 90.00
_space_group_name_H-M_alt 'P 1'
_space_group_IT_number 1
_space_group_name_Hall 'P 1'
loop_
_atom_site_label
_atom_site_type_symbol
_atom_site_fract_x
_atom_site_fract_y
_atom_site_fract_z
_atom_site_occupancy
Mo1 Mo 0.000 0.000 0.000 1
C1 C 0.500 0.500 0.500 1
N1 N 0.000 0.500 0.500 1
N2 N 0.500 0.000 0.500 1
F1 F 0.500 0.500 0.000 1
```

Summary:
The total moment is 0.440 μB per atom. For the density of states at the Fermi level, the calculation gives 2.12 states/eV per cell.

***

Model B:
This record from Alexandria via LeMat-Bulk describes MoCN2F after structural relaxation. The functional is PBE with a Hubbard U.

The structure in CIF format:
```
data_MoCN2F
_cell_length_a 4.000
_cell_length_b 4.000
_cell_length_c 4.091
_cell_angle_alpha 90.00
_cell_angle_beta 90.00
_cell_angle_gamma 90.00
_space_group_name_H-M_alt 'P 1'
_space_group_IT_number 1
_space_group_name_Hall 'P 1'
loop_
_atom_site_label
_atom_site_type_symbol
_atom_site_fract_x
_atom_site_fract_y
_atom_site_fract_z
_atom_site_occupancy
Mo1 Mo 0.000 0.000 0.000 1
C1 C 0.500 0.500 0.500 1
N1 N 0.000 0.500 0.000 1
N2 N 0.500 0.000 0.000 1
F1 F 0.000 0.000 0.500 1
```

Summary:
The total moment is 0.213 μB per atom. For the density of states at the Fermi level, the calculation gives 3.57 states/eV per cell.

***

The winner here is model A, beating the second structure by 2.6 kJ/mol of atoms.